AcFe2WO8 | PBE+U | optimized geometry

a = 5.9659 Å, b = 5.9659 Å, c = 5.9659 Å
α = 107.74°, β = 107.74°, γ = 113.00°
Last column: nearest neighbours and their distance in Å.
Element x y z (fractional)
Ac: 0.0000 0.0000 0.0000  8 O 2.39-2.63
Fe: 0.7500 0.2500 0.5000  4 O 1.85
Fe: 0.5000 0.5000 0.0000  4 O 1.92
W: 0.2500 0.7500 0.5000  8 O 2.04-2.16
O: 0.3668 0.0285 0.3383  1 Fe 1.85
O: 0.3249 0.5431 0.2182  1 Fe 1.92, 1 W 2.04
O: 0.3249 0.1067 0.7818  1 Fe 1.92, 1 W 2.04
O: 0.6902 0.0285 0.6617  1 Fe 1.85
O: 0.8933 0.6751 0.2182  1 Fe 1.92, 1 W 2.04
O: 0.9715 0.3098 0.3383  1 Fe 1.85
O: 0.9715 0.6332 0.6617  1 Fe 1.85
O: 0.4569 0.6751 0.7818  1 Fe 1.92, 1 W 2.04

Results
uncorrected energy = -0.25494 hartree per atom
Fermi-level density of states = 3.811 states/eV/f.u.